(1)
This record from the Alexandria database describes a relaxed ScSeOF2 crystal. The functional is GGA-PBE.

Properties
Uncorrected formation energy ... -0.862 eV/atom
Spin magnetization ... 0.02 Bohr magnetons per cell
Symmetry ... P4/mmm (123)
Excess energy over the best structure of this formula in the dataset ... 1229.2 meV/atom

Unit cell a=4.689 b=4.689 c=3.764 alpha=90.00 beta=90.00 gamma=90.00
Positions (direct):
Sc: 0.000 0.000 0.000
Se: 0.500 0.500 0.500
O: 0.500 0.500 0.000
F: 0.000 0.500 0.500
F: 0.500 0.000 0.500

---

(2)
This record from the Alexandria database describes a relaxed ScSeO2F crystal. The functional is GGA-PBE.

Properties
Uncorrected formation energy ... -1.627 eV/atom
Spin magnetization ... 0.00 Bohr magnetons per cell
Symmetry ... P4/mmm (123)

Unit cell a=4.180 b=4.180 c=3.940 alpha=90.00 beta=90.00 gamma=90.00
Positions (direct):
Sc: 0.000 0.000 0.000
Se: 0.500 0.500 0.500
O: 0.000 0.500 0.000
O: 0.500 0.000 0.000
F: 0.000 0.000 0.500

---

(3)
This record from the Alexandria database describes a relaxed ScSeOF2 crystal. The functional is GGA-PBE.

Properties
Uncorrected formation energy ... -2.091 eV/atom
Spin magnetization ... 1.21 Bohr magnetons per cell
Symmetry ... P4/mmm (123)
Excess energy over the best structure of this formula in the dataset ... 0.0 meV/atom

Unit cell a=4.052 b=4.052 c=4.360 alpha=90.00 beta=90.00 gamma=90.00
Positions (direct):
Sc: 0.000 0.000 0.000
Se: 0.500 0.500 0.500
O: 0.000 0.000 0.500
F: 0.000 0.500 0.000
F: 0.500 0.000 0.000

---

(4)
This record from the Alexandria database describes a relaxed ScSiO2F crystal. The functional is GGA-PBE.

Properties
Uncorrected formation energy ... -1.791 eV/atom
Spin magnetization ... 1.28 Bohr magnetons per cell
Symmetry ... P4/mmm (123)

Unit cell a=3.629 b=3.629 c=4.227 alpha=90.00 beta=90.00 gamma=90.00
Positions (direct):
Sc: 0.000 0.000 0.000
Si: 0.500 0.500 0.500
O: 0.000 0.500 0.500
O: 0.500 0.000 0.500
F: 0.500 0.500 0.000

---

(5)
This record from the Alexandria database describes a relaxed ScSiO2F crystal. The functional is GGA-PBE.

Properties
Uncorrected formation energy ... -1.942 eV/atom
Spin magnetization ... 0.00 Bohr magnetons per cell
Symmetry ... P4/mmm (123)

Unit cell a=4.117 b=4.117 c=3.952 alpha=90.00 beta=90.00 gamma=90.00
Positions (direct):
Sc: 0.000 0.000 0.000
Si: 0.500 0.500 0.500
O: 0.000 0.500 0.000
O: 0.500 0.000 0.000
F: 0.000 0.000 0.500

---

(6)
This record from the Alexandria database describes a relaxed SrScOF2 crystal. The functional is GGA-PBE.

Properties
Uncorrected formation energy ... -2.132 eV/atom
Spin magnetization ... 1.00 Bohr magnetons per cell
Symmetry ... P4/mmm (123)
Excess energy over the best structure of this formula in the dataset ... 935.3 meV/atom

Unit cell a=4.480 b=4.480 c=4.876 alpha=90.00 beta=90.00 gamma=90.00
Positions (direct):
Sr: 0.000 0.000 0.000
Sc: 0.500 0.500 0.500
O: 0.000 0.000 0.500
F: 0.000 0.500 0.000
F: 0.500 0.000 0.000